# 1
Here is a relaxed structure of PmAgH2 from Alexandria via LeMat-Bulk. Energies are from GGA-PBE.

Calculated values
Energy relative to the lowest polymorph listed for this composition (meV/atom): 413

Cell lengths 4.2334, 4.2334, 3.1992 Å; angles 90.00, 90.00, 90.00 degrees
Space group P4/mmm (No. 123)
Inequivalent atoms, fractional coordinates:
Pm 0.0000 0.0000 0.0000 (multiplicity 1)
Ag 0.5000 0.5000 0.0000 (multiplicity 1)
H 0.0000 0.5000 0.5000 (multiplicity 2)

---

# 2
Here is a relaxed structure of Pm2AgH2 from Alexandria via LeMat-Bulk. Energies are from GGA-PBE.

Calculated values
Uncorrected energy (eV per atom): -4.30

Cell lengths 3.7848, 3.7848, 12.8220 Å; angles 90.00, 90.00, 90.00 degrees
Space group I4/mmm (No. 139)
Inequivalent atoms, fractional coordinates:
Pm 0.0000 0.0000 0.1469 (multiplicity 4)
Ag 0.0000 0.0000 0.5000 (multiplicity 2)
H 0.0000 0.5000 0.2500 (multiplicity 4)

---

# 3
Here is a relaxed structure of PmAgH2 from Alexandria via LeMat-Bulk. Energies are from GGA-PBE.

Calculated values
Energy relative to the lowest polymorph listed for this composition (meV/atom): 0

Cell lengths 3.8666, 3.8666, 14.5023 Å; angles 90.00, 90.00, 120.00 degrees
Space group R-3m (No. 166, hexagonal axes)
Inequivalent atoms, fractional coordinates:
Pm 0.0000 0.0000 0.0000 (multiplicity 3)
Ag 0.0000 0.0000 0.5000 (multiplicity 3)
H 0.0000 0.0000 0.3642 (multiplicity 6)

---

# 4
Here is a relaxed structure of Pm12Ag3H5 from Alexandria via LeMat-Bulk. Energies are from GGA-PBE.

Calculated values
Uncorrected energy (eV per atom): -4.32

Cell lengths 15.8153, 15.8153, 15.8153 Å; angles 90.00, 90.00, 90.00 degrees
Space group Ia-3d (No. 230)
Inequivalent atoms, fractional coordinates:
Pm 0.0405 0.0569 0.6514 (multiplicity 96)
Ag 0.0000 0.2500 0.1250 (multiplicity 24)
H 0.0000 0.0000 0.0000 (multiplicity 16)
H 0.0000 0.2500 0.3750 (multiplicity 24)

---

# 5
Here is a relaxed structure of PmAgH from Alexandria via LeMat-Bulk. Energies are from GGA-PBE.

Calculated values
Energy relative to the lowest polymorph listed for this composition (meV/atom): 258

Cell lengths 3.9251, 3.9251, 4.4955 Å; angles 90.00, 90.00, 120.00 degrees
Space group P-6m2 (No. 187)
Inequivalent atoms, fractional coordinates:
Pm 0.0000 0.0000 0.0000 (multiplicity 1)
Ag 0.3333 0.6667 0.5000 (multiplicity 1)
H 0.6667 0.3333 0.0000 (multiplicity 1)

---

# 6
Here is a relaxed structure of PmAgH from Alexandria via LeMat-Bulk. Energies are from GGA-PBE.

Calculated values
Energy relative to the lowest polymorph listed for this composition (meV/atom): 364

Cell lengths 3.3994, 3.3994, 10.0933 Å; angles 90.00, 90.00, 90.00 degrees
Space group I4mm (No. 107)
Inequivalent atoms, fractional coordinates:
Pm 0.0000 0.0000 0.0000 (multiplicity 2)
Ag 0.0000 0.0000 0.2942 (multiplicity 2)
H 0.0000 0.0000 0.5183 (multiplicity 2)